# 1
This record from Alexandria describes RbMg2RhSe after structural relaxation. The functional is PBEsol.

Cell: 5.6359 5.6359 5.5621 Å, 90.00 90.00 90.00°
With the nearest neighbours (Å) after each atom.
Space group P4/mmm (No. 123)
Unique sites:
1 Rb 0.0000 0.0000 0.0000 x1  2 Se 2.78, 4 Mg 2.82
2 Mg 0.0000 0.5000 0.0000 x2  2 Rb 2.82
3 Rh 0.5000 0.5000 0.5000 x1  8 Mg 3.96, 4 Se 3.99
4 Se 0.0000 0.0000 0.5000 x1  2 Rb 2.78

Output
total moment	1.8	μB per cell
energy relative to the elements, uncorrected	1.689	eV per atom


# 2
This record from Alexandria describes RbMgTaRu2 after structural relaxation. The functional is PBEsol.

Cell: 4.7255 4.7255 5.6482 Å, 90.00 90.00 90.00°
With the nearest neighbours (Å) after each atom.
Space group P4/mmm (No. 123)
Unique sites:
1 Rb 0.0000 0.0000 0.0000 x1  2 Ta 2.82
2 Mg 0.5000 0.5000 0.0000 x1  4 Rb 3.34, 8 Ru 3.68
3 Ta 0.0000 0.0000 0.5000 x1  4 Ru 2.36
4 Ru 0.0000 0.5000 0.5000 x2  2 Ta 2.36

Output
total moment	0.0	μB per cell
energy relative to the elements	1.578	eV per atom


# 3
This record from Alexandria describes RbMgSb2Te after structural relaxation. The functional is PBEsol.

Cell: 5.4285 5.4285 5.6751 Å, 90.00 90.00 90.00°
With the nearest neighbours (Å) after each atom.
Space group P4/mmm (No. 123)
Unique sites:
1 Rb 0.0000 0.0000 0.0000 x1  4 Te 3.84, 8 Sb 3.93
2 Mg 0.5000 0.5000 0.5000 x1  4 Sb 2.71, 2 Te 2.84
3 Sb 0.0000 0.5000 0.5000 x2  2 Mg 2.71
4 Te 0.5000 0.5000 0.0000 x1  2 Mg 2.84

Output
total moment	0.0	μB per cell
energy relative to the elements, uncorrected	-0.005	eV per atom


# 4
This record from Alexandria describes RbMgSbTe2 after structural relaxation. The functional is PBEsol.

Cell: 5.9983 5.9983 5.8438 Å, 90.00 90.00 90.00°
With the nearest neighbours (Å) after each atom.
Space group P4/mmm (No. 123)
Unique sites:
1 Rb 0.0000 0.0000 0.0000 x1  2 Sb 2.92, 4 Te 3.00
2 Mg 0.5000 0.5000 0.5000 x1  8 Te 4.19, 4 Sb 4.24
3 Sb 0.0000 0.0000 0.5000 x1  2 Rb 2.92
4 Te 0.0000 0.5000 0.0000 x2  2 Rb 3.00

Output
total moment	0.0	μB per cell
energy relative to the elements, uncorrected	1.017	eV per atom


# 5
This record from Alexandria describes RbMg2Sc after structural relaxation. The functional is PBEsol.

Cell: 8.8820 8.8820 6.8360 Å, 90.00 90.00 90.00°
With the nearest neighbours (Å) after each atom.
Space group I-42d (No. 122)
Unique sites:
1 Rb 0.0000 0.0000 0.0000 x4  2 Sc 3.42, 4 Mg 3.48
2 Mg 0.2144 0.2500 0.6250 x8  2 Sc 3.05
3 Sc 0.0000 0.0000 0.5000 x4  4 Mg 3.05

Output
total moment	0.3	μB per cell
energy relative to the elements	0.677	eV per atom


# 6
This record from Alexandria describes RbMgScTe3 after structural relaxation. The functional is PBEsol.

Cell: 4.3257 16.1285 11.2587 Å, 90.00 90.00 90.00°
With the nearest neighbours (Å) after each atom.
Space group Cmcm (No. 63)
Unique sites:
1 Rb 0.0000 0.2479 0.2500 x4  8 Te 3.64-3.91, 2 Mg 4.07
2 Mg 0.0000 0.4656 0.7500 x4  4 Te 2.73-2.74
3 Sc 0.0000 0.0000 0.0000 x4  6 Te 2.96-3.03
4 Te 0.0000 0.0702 0.7500 x4  2 Mg 2.74, 2 Sc 3.03
5 Te 0.0000 0.3781 0.5425 x8  1 Mg 2.73, 2 Sc 2.96

Output
total moment	0.0	μB per cell
energy relative to the elements, uncorrected	-1.087	eV per atom


# 7
This record from Alexandria describes Rb2MgSe after structural relaxation. The functional is PBEsol.

Cell: 8.2977 8.2977 8.2977 Å, 90.00 90.00 90.00°
With the nearest neighbours (Å) after each atom.
Space group Fm-3m (No. 225)
Unique sites:
1 Rb 0.2500 0.2500 0.2500 x8  4 Se 3.59, 4 Mg 3.59
2 Mg 0.0000 0.0000 0.0000 x4  8 Rb 3.59
3 Se 0.0000 0.0000 0.5000 x4  8 Rb 3.59

Output
total moment	0.0	μB per cell
energy relative to the elements, uncorrected	-0.409	eV per atom


# 8
This record from Alexandria describes RbMg2SiTe after structural relaxation. The functional is PBEsol.

Cell: 5.8351 5.8351 5.5518 Å, 90.00 90.00 90.00°
With the nearest neighbours (Å) after each atom.
Space group P4/mmm (No. 123)
Unique sites:
1 Rb 0.0000 0.0000 0.0000 x1  2 Si 2.78, 4 Mg 2.92
2 Mg 0.0000 0.5000 0.0000 x2  2 Rb 2.92
3 Si 0.0000 0.0000 0.5000 x1  2 Rb 2.78
4 Te 0.5000 0.5000 0.5000 x1  8 Mg 4.03, 4 Si 4.13

Output
total moment	0.0	μB per cell
energy relative to the elements, uncorrected	1.421	eV per atom


# 9
This record from Alexandria describes RbMgSn3 after structural relaxation. The functional is PBEsol.

Cell: 5.4995 5.4995 5.4995 Å, 90.00 90.00 90.00°
With the nearest neighbours (Å) after each atom.
Space group Pm-3m (No. 221)
Unique sites:
1 Rb 0.0000 0.0000 0.0000 x1  12 Sn 3.89
2 Mg 0.5000 0.5000 0.5000 x1  6 Sn 2.75
3 Sn 0.0000 0.5000 0.5000 x3  2 Mg 2.75

Output
total moment	0.0	μB per cell
offset from the most stable computed form	0	meV per atom
energy relative to the elements	0.186	eV per atom


# 10
This record from Alexandria describes RbMg2Sn2 after structural relaxation. The functional is PBEsol.

Cell: 4.9300 4.9300 12.2083 Å, 90.00 90.00 90.00°
With the nearest neighbours (Å) after each atom.
Space group I4/mmm (No. 139)
Unique sites:
1 Rb 0.0000 0.0000 0.0000 x2  8 Sn 3.77, 8 Mg 3.92
2 Mg 0.0000 0.5000 0.2500 x4  4 Sn 2.95
3 Sn 0.0000 0.0000 0.3829 x4  1 Sn 2.86, 4 Mg 2.95

Output
total moment	0.0	μB per cell
energy relative to the elements	-0.231	eV per atom


# 11
This record from Alexandria describes Rb2Mg2Sn after structural relaxation. The functional is PBEsol.

Cell: 4.0714 4.0714 24.3162 Å, 90.00 90.00 90.00°
With the nearest neighbours (Å) after each atom.
Space group I4/mmm (No. 139)
Unique sites:
1 Rb 0.0000 0.0000 0.1009 x4  4 Sn 3.78, 4 Rb 4.07, 4 Mg 4.16
2 Mg 0.0000 0.5000 0.2500 x4  4 Mg 2.88
3 Sn 0.0000 0.0000 0.5000 x2  8 Rb 3.78, 4 Sn 4.07

Output
total moment	1.2	μB per cell
energy relative to the elements	0.240	eV per atom


# 12
This record from Alexandria describes RbMgSn3 after structural relaxation. The functional is PBEsol.

Cell: 5.9146 5.9146 5.9146 Å, 90.00 90.00 90.00°
With the nearest neighbours (Å) after each atom.
Space group Pm-3m (No. 221)
Unique sites:
1 Rb 0.0000 0.0000 0.0000 x1  6 Sn 2.96
2 Mg 0.5000 0.5000 0.5000 x1  12 Sn 4.18
3 Sn 0.0000 0.0000 0.5000 x3  2 Rb 2.96

Output
total moment	0.0	μB per cell
offset from the most stable computed form	1113	meV per atom
energy relative to the elements	1.299	eV per atom


- What is the total moment in the tenth record?
  0.0 μB per cell


- Which of these has the highest total moment?
  RbMg2RhSe